A plane-wave DFT calculation with PBE-GGA was carried out for a geometry-optimized SnGe2Se structure.

E_form (uncorrected) = 1.1 eV/f.u.
Calculated total energy = -15.667 eV per cell
Distance to the lowest polymorph of the same formula = 75.6 meV per atom

Unit cell a=4.981 b=4.981 c=4.981 alpha=60.00 beta=60.00 gamma=60.00
Sites, in units of the cell vectors:
1 Sn 0.000 0.000 0.000
2 Ge 0.250 0.250 0.250
3 Ge 0.750 0.750 0.750
4 Se 0.500 0.500 0.500